# ScRhAu | Alexandria via LeMat-Bulk | meta-GGA SCAN | PBEsol geometry
# * energy of formation from the pure elements: -795 meV per atom
data_ScRhAu
_space_group_name_H-M_alt 'I 4 m m'
_space_group_IT_number 107
_space_group_name_Hall 'I 4 -2'
_cell_length_a 3.297
_cell_length_b 3.297
_cell_length_c 9.152
_cell_angle_alpha 90.00
_cell_angle_beta 90.00
_cell_angle_gamma 90.00
loop_
_atom_site_label
_atom_site_type_symbol
_atom_site_fract_x
_atom_site_fract_y
_atom_site_fract_z
_atom_site_occupancy
Sc1 Sc 0.000 0.000 0.000 1
Rh1 Rh 0.000 0.000 0.353 1
Au1 Au 0.000 0.000 0.676 1

# Ti3VS4 | Alexandria via LeMat-Bulk | meta-GGA SCAN | PBEsol geometry
# * formation energy (no corrections): -137 kJ/mol of atoms
data_Ti3VS4
_space_group_name_H-M_alt 'P 1 2/m 1'
_space_group_IT_number 10
_cell_length_a 5.515
_cell_length_b 3.193
_cell_length_c 6.306
_cell_angle_alpha 90.00
_cell_angle_beta 90.03
_cell_angle_gamma 90.00
loop_
_space_group_symop_operation_xyz
'x,y,z'
'-x,-y,-z'
'-x,y,-z'
'x,-y,z'
loop_
_atom_site_label
_atom_site_type_symbol
_atom_site_fract_x
_atom_site_fract_y
_atom_site_fract_z
_atom_site_occupancy
Ti1 Ti 0.000 0.000 0.000 1
Ti2 Ti 0.000 0.000 0.500 1
Ti3 Ti 0.500 0.500 0.000 1
V1 V 0.500 0.500 0.500 1
S1 S 0.170 0.500 0.253 1
S2 S 0.337 0.000 0.746 1

no.,total magnetic moment (μB per formula unit)
1,0.000
2,0.000